1.
The following is a GGA-PBE calculation of a relaxed TaSeI2N crystal, from Alexandria.

abc: 5.599 5.599 3.922
angles: 90.00 90.00 90.00
Space group P4/mmm (No. 123)
Asymmetric unit:
1 Ta 0.000 0.000 0.000
2 Se 0.500 0.500 0.000
3 I 0.000 0.500 0.500
4 N 0.000 0.000 0.500

DOS at the Fermi energy, states/eV per atom: 1.055
E above lowest polymorph, meV per atom: 552
Raw formation energy, kJ/mol of atoms: 86.8
ρ, Mg/m³: 7.13

=====

2.
The following is a GGA-PBE calculation of a relaxed NdY3Pd crystal, from Alexandria.

abc: 14.505 13.382 6.173
angles: 90.00 102.22 90.00
Space group C2/c (No. 15)
Asymmetric unit:
1 Nd 0.000 0.068 0.250
2 Nd 0.000 0.203 0.750
3 Y 0.089 0.409 0.488
4 Y 0.204 0.208 0.226
5 Y 0.205 0.057 0.720
6 Pd 0.120 0.380 0.979

DOS at the Fermi energy, states/eV per atom: 1.185
ΔE_f, kJ/mol of atoms: -30
E above lowest polymorph, meV per atom: 0
ρ, Mg/m³: 5.87

=====

3.
The following is a GGA-PBE calculation of a relaxed KMn2B crystal, from Alexandria.

abc: 6.522 6.522 9.242
angles: 90.00 90.00 90.00
Space group I4_1/amd (No. 141, origin choice 2)
Asymmetric unit:
1 K 0.000 0.250 0.375
2 Mn 0.000 0.000 0.000
3 B 0.000 0.250 0.875

DOS at the Fermi energy, states/eV per atom: 0.920
ΔE_f, kJ/mol of atoms: 76
ρ, Mg/m³: 2.70

=====

4.
The following is a GGA-PBE calculation of a relaxed PrEr2FeN4 crystal, from Alexandria.

abc: 3.393 11.400 11.433
angles: 90.00 90.00 90.00
Space group Cmcm (No. 63)
Asymmetric unit:
1 Pr 0.000 0.107 0.250
2 Er 0.000 0.368 0.045
3 Fe 0.000 0.161 0.750
4 N 0.000 0.000 0.000
5 N 0.000 0.266 0.627
6 N 0.000 0.415 0.250

DOS at the Fermi energy, states/eV per atom: 0.434
Raw formation energy, kJ/mol of atoms: -111.6
ρ, Mg/m³: 8.82

=====

Which of these has the lowest DOS at the Fermi energy? PrEr2FeN4

=====

The lowest ρ belongs to which entry? KMn2B

=====

Number 3 is which compound? KMn2B